DFT (PBE) results for a geometry-optimized SmTlZnS3 structure.

Values from the calculation:
Total energy = -4.60 eV per atom
Symmetry = No. 62
Size of the total moment = 0.0 μB per cell
Polymorph energy (0 for the lowest one) = 59 meV/atom

Unit cell a=9.832 b=4.047 c=15.114 alpha=90.00 beta=90.00 gamma=90.00
Fractional positions:
S: 0.677 0.750 0.020
S: 0.978 0.250 0.104
S: 0.285 0.750 0.220
S: 0.785 0.750 0.280
S: 0.478 0.250 0.396
S: 0.177 0.750 0.480
S: 0.823 0.250 0.520
S: 0.522 0.750 0.604
S: 0.215 0.250 0.720
S: 0.715 0.250 0.780
S: 0.022 0.750 0.896
S: 0.323 0.250 0.980
Sm: 0.178 0.750 0.058
Sm: 0.678 0.750 0.442
Sm: 0.322 0.250 0.558
Sm: 0.822 0.250 0.942
Tl: 0.522 0.250 0.181
Tl: 0.022 0.250 0.319
Tl: 0.978 0.750 0.681
Tl: 0.478 0.750 0.819
Zn: 0.833 0.750 0.134
Zn: 0.333 0.750 0.366
Zn: 0.667 0.250 0.634
Zn: 0.167 0.250 0.866

***

DFT (PBE) results for a geometry-optimized LiYHf structure.

Values from the calculation:
Total energy = -4.91 eV per atom
Symmetry = No. 216
Size of the total moment = 1.1 μB per cell
Polymorph energy (0 for the lowest one) = 0 meV/atom

Unit cell a=4.925 b=4.925 c=4.925 alpha=60.00 beta=60.00 gamma=60.00
Fractional positions:
Hf: 0.000 0.000 0.000
Li: 0.250 0.250 0.250
Y: 0.750 0.750 0.750

***

DFT (PBE) results for a geometry-optimized Al2Au3 structure.

Values from the calculation:
Total energy = -3.68 eV per atom
Symmetry = No. 167

Unit cell a=6.850 b=6.850 c=6.020 alpha=124.68 beta=55.32 gamma=120.00
Fractional positions:
Al: 0.601 0.399 0.197
Al: 0.899 0.101 0.303
Al: 0.101 0.899 0.697
Al: 0.399 0.601 0.803
Au: 0.989 0.489 0.250
Au: 0.511 0.750 0.250
Au: 0.250 0.011 0.250
Au: 0.750 0.989 0.750
Au: 0.489 0.250 0.750
Au: 0.011 0.511 0.750

***

DFT (PBE) results for a geometry-optimized SmSi2NiPd structure.

Values from the calculation:
Total energy = -6.13 eV per atom
Symmetry = No. 119
Size of the total moment = 0.0 μB per cell

Unit cell a=5.736 b=5.736 c=5.736 alpha=137.97 beta=137.97 gamma=60.96
Fractional positions:
Ni: 0.000 0.000 0.000
Pd: 0.500 0.500 0.000
Si: 0.129 0.629 0.500
Si: 0.371 0.871 0.500
Sm: 0.750 0.250 0.500

***

DFT (PBE) results for a geometry-optimized HfTc2Sb structure.

Values from the calculation:
Total energy = -8.41 eV per atom
Symmetry = No. 194
Size of the total moment = 0.0 μB per cell

Unit cell a=4.729 b=4.729 c=7.892 alpha=90.00 beta=90.00 gamma=120.00
Fractional positions:
Hf: 0.667 0.333 0.250
Hf: 0.333 0.667 0.750
Sb: 0.000 0.000 0.250
Sb: 0.000 0.000 0.750
Tc: 0.333 0.667 0.091
Tc: 0.333 0.667 0.409
Tc: 0.667 0.333 0.591
Tc: 0.667 0.333 0.909

***

DFT (PBE) results for a geometry-optimized DyClO structure.

Values from the calculation:
Total energy = -6.86 eV per atom
Symmetry = No. 12
Size of the total moment = 0.0 μB per cell

Unit cell a=8.948 b=8.948 c=7.530 alpha=93.99 beta=93.99 gamma=25.29
Fractional positions:
Cl: 0.427 0.427 0.159
Cl: 0.102 0.102 0.351
Cl: 0.898 0.898 0.649
Cl: 0.573 0.573 0.841
Dy: 0.684 0.684 0.115
Dy: 0.314 0.314 0.387
Dy: 0.686 0.686 0.613
Dy: 0.316 0.316 0.885
O: 0.245 0.245 0.120
O: 0.756 0.756 0.372
O: 0.244 0.244 0.628
O: 0.755 0.755 0.880

***

DFT (PBE) results for a geometry-optimized NaAgPbSeS2 structure.

Values from the calculation:
Total energy = -3.55 eV per atom
Symmetry = No. 63

Unit cell a=6.758 b=6.758 c=11.277 alpha=90.00 beta=90.00 gamma=145.55
Fractional positions:
Ag: 0.585 0.415 0.250
Ag: 0.415 0.585 0.750
Na: 0.272 0.728 0.250
Na: 0.728 0.272 0.750
Pb: 0.000 0.000 0.000
Pb: 0.000 0.000 0.500
S: 0.646 0.354 0.044
S: 0.646 0.354 0.456
S: 0.354 0.646 0.544
S: 0.354 0.646 0.956
Se: 0.939 0.061 0.250
Se: 0.061 0.939 0.750

***

DFT (PBE) results for a geometry-optimized Ba3Sb4Mo2 structure.

Values from the calculation:
Total energy = -5.32 eV per atom
Symmetry = No. 12
Size of the total moment = 0.0 μB per cell

Unit cell a=9.277 b=9.277 c=8.713 alpha=114.06 beta=114.06 gamma=26.33
Fractional positions:
Ba: 0.132 0.132 0.042
Ba: 0.000 0.000 0.500
Ba: 0.868 0.868 0.958
Mo: 0.700 0.700 0.480
Mo: 0.300 0.300 0.520
Sb: 0.545 0.545 0.241
Sb: 0.791 0.791 0.294
Sb: 0.209 0.209 0.706
Sb: 0.455 0.455 0.759

***

DFT (PBE) results for a geometry-optimized Dy4TePbC2 structure.

Values from the calculation:
Total energy = -6.13 eV per atom
Symmetry = No. 187
Size of the total moment = 0.0 μB per cell

Unit cell a=3.732 b=3.732 c=15.096 alpha=90.00 beta=90.00 gamma=120.00
Fractional positions:
C: 0.667 0.333 0.262
C: 0.667 0.333 0.738
Dy: 0.333 0.667 0.175
Dy: 0.000 0.000 0.350
Dy: 0.000 0.000 0.650
Dy: 0.333 0.667 0.825
Pb: 0.000 0.000 0.000
Te: 0.333 0.667 0.500

***

DFT (PBE) results for a geometry-optimized YSiIr structure.

Values from the calculation:
Total energy = -7.45 eV per atom
Symmetry = No. 216
Size of the total moment = 0.0 μB per cell

Unit cell a=4.467 b=4.467 c=4.467 alpha=60.00 beta=60.00 gamma=60.00
Fractional positions:
Ir: 0.000 0.000 0.000
Si: 0.250 0.250 0.250
Y: 0.750 0.750 0.750

***

DFT (PBE) results for a geometry-optimized Dy4CI4Br structure.

Values from the calculation:
Total energy = -4.70 eV per atom
Symmetry = No. 12
Size of the total moment = 0.0 μB per cell

Unit cell a=9.795 b=9.795 c=8.343 alpha=101.86 beta=101.86 gamma=23.11
Fractional positions:
Br: 0.500 0.500 0.500
C: 0.500 0.500 0.000
Dy: 0.628 0.628 0.063
Dy: 0.999 0.999 0.197
Dy: 0.001 0.001 0.803
Dy: 0.372 0.372 0.937
I: 0.833 0.833 0.185
I: 0.162 0.162 0.347
I: 0.838 0.838 0.653
I: 0.167 0.167 0.815

***

DFT (PBE) results for a geometry-optimized Cs2Dy4Cu4S9 structure.

Values from the calculation:
Total energy = -5.20 eV per atom
Symmetry = No. 12
Size of the total moment = 0.0 μB per cell

Unit cell a=7.302 b=7.302 c=16.110 alpha=108.16 beta=108.16 gamma=31.62
Fractional positions:
Cs: 0.529 0.529 0.271
Cs: 0.471 0.471 0.729
Cu: 0.930 0.930 0.039
Cu: 0.252 0.252 0.272
Cu: 0.748 0.748 0.728
Cu: 0.070 0.070 0.961
Dy: 0.731 0.731 0.103
Dy: 0.847 0.847 0.446
Dy: 0.153 0.153 0.554
Dy: 0.269 0.269 0.897
S: 0.359 0.359 0.073
S: 0.108 0.108 0.122
S: 0.838 0.838 0.276
S: 0.209 0.209 0.403
S: 0.500 0.500 0.500
S: 0.791 0.791 0.597
S: 0.162 0.162 0.724
S: 0.892 0.892 0.878
S: 0.641 0.641 0.927